Material: K2RbLiO
Method: DFT, PBE-GGA
State: optimized geometry

Results
- D(E_F) (states/eV/f.u.) = 0.09
- ΔE_f (raw) (eV per atom) = 0.413
- symmetry = P4/mmm
- spin magnetization (μB/atom) = 0.000
- VASP energy (eV per atom) = -1.594

a = 6.238 Å, b = 6.238 Å, c = 6.517 Å
α = 90.00°, β = 90.00°, γ = 90.00°
Atoms (fractional coordinates):
1 K 0.000 0.500 0.000
2 K 0.500 0.000 0.000
3 Rb 0.000 0.000 0.500
4 Li 0.000 0.000 0.000
5 O 0.500 0.500 0.500